This record from Alexandria describes Mo2RhO8 after structural relaxation. The functional is PBE with a Hubbard U.

Properties
As for the total energy: -0.4889 Ry per atom. As for the volume: 222 Å³/f.u. Its space group is No. 2.

The structure in POSCAR format:
```
Mo2RhO8
1.0
5.1629 0.0000 0.0000
-0.5547 6.5608 0.0000
-0.6161 -0.8326 6.5403
Mo Rh O
2 1 8
Cartesian
0.5768 1.2535 1.4192
3.4153 4.4747 5.1211
2.5815 0.0000 0.0000
0.0311 4.8033 5.4924
0.6969 2.3872 2.6989
0.8903 0.9322 6.4448
0.9527 6.2488 1.7402
3.0393 -0.5206 4.8001
3.1018 4.7960 0.0955
3.2952 3.3410 3.8414
3.9610 0.9249 1.0479
```